Density functional theory data (PBE) for a relaxed structure of Sr2CaGeO.

Summary:
**Density**: 4.1 g/cm³
**Formation energy without anion corrections**: -1.440 eV/atom
**DFT total energy**: -22.14 eV per cell

a = 5.063 Å, b = 5.063 Å, c = 4.814 Å
α = 90.00°, β = 90.00°, γ = 90.00°
Fractional positions:
Sr (0.000, 0.500, 0.000)
Sr (0.500, 0.000, 0.000)
Ge (0.500, 0.500, 0.500)
Ca (0.000, 0.000, 0.500)
O (0.000, 0.000, 0.000)



Density functional theory data (PBE) for a relaxed structure of SrCaGe2O6.

Summary:
**Density**: 4.1 g/cm³
**Formation energy without anion corrections**: -2.275 eV/atom
**DFT total energy**: -130.83 eV per cell

a = 5.486 Å, b = 7.409 Å, c = 7.409 Å
α = 89.57°, β = 83.54°, γ = 83.54°
Fractional positions:
Sr (0.250, 0.897, 0.103)
Sr (0.750, 0.103, 0.897)
Ca (0.250, 0.303, 0.697)
Ca (0.750, 0.697, 0.303)
Ge (0.228, 0.797, 0.620)
Ge (0.272, 0.380, 0.203)
Ge (0.772, 0.203, 0.380)
Ge (0.728, 0.620, 0.797)
O (0.177, 0.979, 0.774)
O (0.323, 0.226, 0.021)
O (0.823, 0.021, 0.226)
O (0.677, 0.774, 0.979)
O (0.367, 0.836, 0.406)
O (0.133, 0.594, 0.164)
O (0.633, 0.164, 0.594)
O (0.867, 0.406, 0.836)
O (0.928, 0.709, 0.605)
O (0.572, 0.395, 0.291)
O (0.072, 0.291, 0.395)
O (0.428, 0.605, 0.709)



Density functional theory data (PBE) for a relaxed structure of SrCa2GeO.

Summary:
**Density**: 3.7 g/cm³
**Formation energy without anion corrections**: -1.489 eV/atom
**DFT total energy**: -22.70 eV per cell

a = 4.796 Å, b = 4.796 Å, c = 5.006 Å
α = 90.00°, β = 90.00°, γ = 90.00°
Fractional positions:
Sr (0.000, 0.000, 0.500)
Ge (0.500, 0.500, 0.500)
Ca (0.000, 0.500, 0.000)
Ca (0.500, 0.000, 0.000)
O (0.000, 0.000, 0.000)



Density functional theory data (PBE) for a relaxed structure of SrCaGe4O12.

Summary:
**Density**: 4.7 g/cm³
**Formation energy without anion corrections**: -1.460 eV/atom
**DFT total energy**: -107.92 eV per cell

a = 5.335 Å, b = 5.335 Å, c = 7.544 Å
α = 90.00°, β = 90.00°, γ = 90.00°
Site moments in Bohr magnetons follow the coordinates.
Fractional positions:
Sr (0.000, 0.000, 0.000)  -0.01
Ca (0.500, 0.500, 0.500)  -0.01
Ge (0.000, 0.500, 0.749)  -0.03
Ge (0.000, 0.500, 0.251)  -0.03
Ge (0.500, 0.000, 0.749)  -0.03
Ge (0.500, 0.000, 0.251)  -0.03
O (0.253, 0.253, 0.744)  0.24
O (0.253, 0.253, 0.256)  0.24
O (0.747, 0.747, 0.256)  0.24
O (0.747, 0.747, 0.744)  0.24
O (0.747, 0.253, 0.744)  0.24
O (0.747, 0.253, 0.256)  0.24
O (0.253, 0.747, 0.256)  0.24
O (0.253, 0.747, 0.744)  0.24
O (0.000, 0.500, 0.500)  0.27
O (0.000, 0.500, 0.000)  0.20
O (0.500, 0.000, 0.500)  0.27
O (0.500, 0.000, 0.000)  0.20